CaPmSmHg after structural relaxation, computed with PBE-GGA.

Properties
The value obtained for the formation energy is 0.10 kcal/mol of atoms. For the total moment, the calculation gives 0.00 μB/cell.

```
data_CaPmSmHg
_cell_length_a 7.885
_cell_length_b 7.885
_cell_length_c 7.885
_cell_angle_alpha 90.00
_cell_angle_beta 90.00
_cell_angle_gamma 90.00
_space_group_name_H-M_alt 'F -4 3 m'
_space_group_IT_number 216
_space_group_name_Hall 'F -4 2 3'
loop_
_atom_site_label
_atom_site_type_symbol
_atom_site_fract_x
_atom_site_fract_y
_atom_site_fract_z
_atom_site_occupancy
Ca1 Ca 0.000 0.000 0.000 1
Pm1 Pm 0.250 0.250 0.750 1
Sm1 Sm 0.000 0.000 0.500 1
Hg1 Hg 0.250 0.250 0.250 1
```